Compound: GdMgScZn
Source: Alexandria via LeMat-Bulk
Functional: PBE
Structure: relaxed

Results
total energy	-5.99	eV/atom
E_form	-0.168	eV/atom
density of states at the Fermi level	3.24	states/eV/cell

abc: 5.0729 5.0729 5.0729
angles: 60.00 60.00 60.00
Last column: magnetic moment on the atom in μB.
Fractional coordinates of all 4 atoms:
Sc  0.2500  0.2500  0.2500  0.15
Zn  0.0000  0.0000  0.0000  0.00
Gd  0.7500  0.7500  0.7500  7.16
Mg  0.5000  0.5000  0.5000  0.00